{"formula": "LiH2F4", "functional": "GGA-PBE", "state": "relaxed", "magmom_total_mub_per_atom": 0.144, "final_energy_ev_per_cell": -56.01, "spacegroup": "No. 5", "lattice_angstrom": [[4.201, -3.093, 0.000], [4.201, 3.093, 0.000], [-3.848, 0.000, 5.210]], "species": ["Li", "Li", "H", "H", "H", "H", "F", "F", "F", "F", "F", "F", "F", "F"], "fractional_positions": [[0.000, 0.000, 0.000], [0.759, 0.241, 0.500], [0.239, 0.505, 0.741], [0.296, 0.052, 0.769], [0.495, 0.761, 0.259], [0.948, 0.704, 0.231], [0.049, 0.563, 0.761], [0.098, 0.054, 0.759], [0.437, 0.951, 0.239], [0.517, 0.407, 0.724], [0.563, 0.038, 0.762], [0.593, 0.483, 0.276], [0.946, 0.902, 0.241], [0.962, 0.437, 0.238]]}

{"formula": "Li3HF6", "functional": "GGA-PBE", "state": "relaxed", "magmom_total_mub_per_atom": 0.097, "final_energy_ev_per_cell": -80.13, "spacegroup": "No. 36", "lattice_angstrom": [[4.127, -5.380, 0.000], [4.127, 5.380, 0.000], [0.000, 0.000, 4.299]], "species": ["Li", "Li", "Li", "Li", "Li", "Li", "H", "H", "F", "F", "F", "F", "F", "F", "F", "F", "F", "F", "F", "F"], "fractional_positions": [[0.112, 0.888, 0.500], [0.183, 0.431, 0.438], [0.431, 0.183, 0.938], [0.569, 0.817, 0.438], [0.817, 0.569, 0.938], [0.888, 0.112, 0.000], [0.264, 0.736, 0.991], [0.736, 0.264, 0.491], [0.092, 0.613, 0.727], [0.157, 0.176, 0.718], [0.176, 0.157, 0.218], [0.269, 0.731, 0.220], [0.387, 0.908, 0.727], [0.495, 0.505, 0.486], [0.505, 0.495, 0.986], [0.613, 0.092, 0.227], [0.731, 0.269, 0.720], [0.824, 0.843, 0.718], [0.843, 0.824, 0.218], [0.908, 0.387, 0.227]]}

{"formula": "LiHF", "functional": "GGA-PBE", "state": "relaxed", "magmom_total_mub_per_atom": 0.000, "de_polymorph_ev_per_atom": 0.000, "spacegroup": "No. 1", "lattice_angstrom": [[2.799, 0.000, 0.000], [-0.011, 2.799, 0.000], [-1.250, -1.257, 7.181]], "species": ["Li", "Li", "H", "H", "F", "F"], "fractional_positions": [[0.000, 0.000, 0.000], [0.377, 0.376, 0.723], [0.102, 0.096, 0.369], [0.286, 0.281, 0.358], [0.505, 0.505, 0.011], [0.872, 0.872, 0.713]]}

{"formula": "Li4H2F", "functional": "GGA-PBE", "state": "relaxed", "magmom_total_mub_per_atom": 0.000, "final_energy_ev_per_cell": -21.94, "spacegroup": "No. 139", "lattice_angstrom": [[-1.909, 1.909, 5.060], [1.909, -1.909, 5.060], [1.909, 1.909, -5.060]], "species": ["Li", "Li", "Li", "Li", "H", "H", "F"], "fractional_positions": [[0.000, 0.500, 0.500], [0.204, 0.204, 0.000], [0.500, 0.000, 0.500], [0.796, 0.796, 0.000], [0.380, 0.380, 0.000], [0.620, 0.620, 0.000], [0.000, 0.000, 0.000]]}

{"formula": "LiHF2", "functional": "GGA-PBE", "state": "relaxed", "magmom_total_mub_per_atom": 0.000, "de_polymorph_ev_per_atom": 0.000, "spacegroup": "No. 194", "lattice_angstrom": [[3.034, 0.000, 0.000], [-1.517, 2.627, 0.000], [0.000, 0.000, 8.873]], "species": ["Li", "Li", "H", "H", "F", "F", "F", "F"], "fractional_positions": [[0.000, 0.000, 0.000], [0.000, 0.000, 0.500], [0.333, 0.667, 0.250], [0.667, 0.333, 0.750], [0.333, 0.667, 0.121], [0.333, 0.667, 0.379], [0.667, 0.333, 0.621], [0.667, 0.333, 0.879]]}

{"formula": "Li2HF", "functional": "GGA-PBE", "state": "relaxed", "magmom_total_mub_per_atom": 0.000, "de_polymorph_ev_per_atom": 0.052, "spacegroup": "No. 160", "lattice_angstrom": [[1.412, 0.815, 4.923], [-1.412, 0.815, 4.923], [0.000, -1.630, 4.923]], "species": ["Li", "Li", "H", "F"], "fractional_positions": [[0.000, 0.000, 0.000], [0.169, 0.169, 0.169], [0.587, 0.587, 0.587], [0.416, 0.416, 0.416]]}

{"formula": "LiHF2", "functional": "GGA-PBE", "state": "relaxed", "magmom_total_mub_per_atom": 0.000, "de_polymorph_ev_per_atom": 0.038, "spacegroup": "No. 1", "lattice_angstrom": [[3.062, 0.000, 0.000], [-1.522, 4.812, 0.000], [-0.009, -2.393, 4.813]], "species": ["Li", "Li", "H", "H", "F", "F", "F", "F"], "fractional_positions": [[0.000, 0.000, 0.000], [0.378, 0.999, 0.500], [0.430, 0.522, 0.988], [0.474, 0.522, 0.487], [0.205, 0.294, 0.411], [0.407, 0.783, 0.076], [0.471, 0.293, 0.911], [0.757, 0.783, 0.576]]}

{"formula": "Li2HF", "functional": "GGA-PBE", "state": "relaxed", "magmom_total_mub_per_atom": 0.000, "de_polymorph_ev_per_atom": 0.242, "spacegroup": "No. 123", "lattice_angstrom": [[2.549, 0.000, 0.000], [0.000, 2.549, 0.000], [0.000, 0.000, 5.054]], "species": ["Li", "Li", "H", "F"], "fractional_positions": [[0.000, 0.000, 0.249], [0.000, 0.000, 0.751], [0.500, 0.500, 0.500], [0.500, 0.500, 0.000]]}